Record 1
CePuCu4, relaxed, DFT PBE; crystal system = hexagonal; uncorrected energy = -6.1614 eV per atom; density of states at the Fermi level = 16.342 states/eV per cell; space group = P6/mmm; energy of formation from the pure elements = -0.053 eV per atom
1.0
-3.590 -2.528 -0.872
1.962 -0.208 4.019
-3.701 4.551 2.042
Ce Pu Cu
1 1 4
Direct
0.000 0.000 0.500
0.000 0.000 0.000
0.333 0.667 0.239
0.333 0.667 0.761
0.667 0.333 0.239
0.667 0.333 0.761

Record 2
CeTmGaAu, relaxed, DFT PBE; crystal system = cubic; uncorrected energy = -4.7618 eV per atom; density of states at the Fermi level = 8.398 states/eV per cell; space group = F-43m; energy of formation from the pure elements = -0.584 eV per atom
1.0
-4.560 -1.122 2.078
-0.773 -4.589 2.173
-0.475 -0.379 5.099
Tm Au Ga Ce
1 1 1 1
Direct
0.500 0.500 0.500
0.750 0.750 0.750
0.250 0.250 0.250
0.000 0.000 0.000

Record 3
Tb2Pr2Er4Tm, relaxed, DFT PBE; crystal system = monoclinic; uncorrected energy = -4.6147 eV per atom; density of states at the Fermi level = 12.469 states/eV per cell; space group = C2/m; energy of formation from the pure elements = 0.001 eV per atom
1.0
-1.427 0.948 -3.161
2.961 -8.806 -1.934
-8.619 0.589 4.068
Tb Pr Er Tm
2 2 4 1
Direct
0.853 0.707 0.339
0.147 0.293 0.661
0.335 0.671 0.001
0.665 0.329 0.999
0.815 0.630 0.663
0.185 0.370 0.337
0.520 0.039 0.334
0.480 0.961 0.666
0.000 0.000 0.000

Record 4
PmCoTcP2, relaxed, DFT PBE; crystal system = tetragonal; uncorrected energy = -7.5508 eV per atom; density of states at the Fermi level = 1.901 states/eV per cell; space group = I-4m2; energy of formation from the pure elements = -0.942 eV per atom
1.0
3.954 0.000 0.000
0.000 3.954 0.000
-1.977 -1.977 5.108
Pm Co Tc P
1 1 1 2
Direct
0.000 0.000 0.000
0.750 0.250 0.500
0.250 0.750 0.500
0.634 0.634 0.268
0.366 0.366 0.732

Record 5
VZnPd3, relaxed, DFT PBE; crystal system = cubic; uncorrected energy = -4.4919 eV per atom; density of states at the Fermi level = 5.126 states/eV per cell; space group = Pm-3m; energy of formation from the pure elements = 0.702 eV per atom
1.0
4.627 0.000 0.000
0.000 4.627 0.000
0.000 0.000 4.627
Zn Pd V
1 3 1
Direct
0.500 0.500 0.500
0.000 0.500 0.000
0.000 0.000 0.500
0.500 0.000 0.000
0.000 0.000 0.000

Record 6
CrCuBMo2, relaxed, DFT PBE; crystal system = tetragonal; uncorrected energy = -8.0050 eV per atom; density of states at the Fermi level = 3.481 states/eV per cell; space group = P4/mmm; energy of formation from the pure elements = 0.407 eV per atom
1.0
4.211 0.000 0.000
0.000 3.731 0.000
0.000 0.000 4.211
Cr Mo B Cu
1 2 1 1
Direct
0.500 0.500 0.500
0.000 0.000 0.500
0.500 0.000 0.000
0.000 0.000 0.000
0.000 0.500 0.000

Record 7
HoTmGe2, relaxed, DFT PBE; crystal system = orthorhombic; uncorrected energy = -5.4228 eV per atom; density of states at the Fermi level = 2.551 states/eV per cell; space group = Amm2; energy of formation from the pure elements = -0.852 eV per atom
1.0
-1.048 3.601 -1.964
-2.196 -2.038 -2.566
-3.693 -1.286 4.182
Ho Tm Ge
1 1 2
Direct
0.445 0.500 0.429
0.720 0.000 0.980
0.169 0.500 0.878
0.996 0.000 0.531

Record 8
Al4GaIr5, relaxed, DFT PBE; crystal system = tetragonal; uncorrected energy = -7.0592 eV per atom; density of states at the Fermi level = 3.401 states/eV per cell; space group = P4/mmm; energy of formation from the pure elements = -0.829 eV per atom
1.0
2.968 0.000 0.000
0.000 2.968 0.000
0.000 0.000 15.779
Al Ga Ir
4 1 5
Direct
0.000 0.000 0.203
0.000 0.000 0.401
0.000 0.000 0.599
0.000 0.000 0.797
0.000 0.000 0.000
0.500 0.500 0.105
0.500 0.500 0.303
0.500 0.500 0.500
0.500 0.500 0.697
0.500 0.500 0.895

Record 9
VBRuN2, relaxed, DFT PBE; crystal system = tetragonal; uncorrected energy = -7.1843 eV per atom; density of states at the Fermi level = 3.256 states/eV per cell; space group = P4/mmm
1.0
3.703 0.000 0.000
0.000 4.083 0.000
0.000 0.000 3.703
Ru B N V
1 1 2 1
Direct
0.500 0.500 0.500
0.000 0.500 0.000
0.000 0.000 0.500
0.500 0.000 0.000
0.000 0.000 0.000

Record 10
MgTl8, relaxed, DFT PBE; crystal system = tetragonal; uncorrected energy = -2.2661 eV per atom; density of states at the Fermi level = 3.736 states/eV per cell; space group = I4/mmm; energy of formation from the pure elements = 0.014 eV per atom
1.0
-2.260 0.602 -3.030
-1.268 -7.907 -3.042
-7.867 -0.492 3.353
Mg Tl
1 8
Direct
0.000 0.000 0.000
0.661 0.000 0.678
0.339 0.000 0.322
0.000 0.331 0.669
0.339 0.322 0.000
0.669 0.331 0.331
0.661 0.678 0.000
0.000 0.669 0.331
0.331 0.669 0.669

Record 11
Rb2AsF6, relaxed, DFT PBE; crystal system = monoclinic; uncorrected energy = -4.4092 eV per atom; density of states at the Fermi level = 6.028 states/eV per cell; space group = P2_1/c
1.0
4.761 0.000 -2.477
0.000 9.665 0.000
-4.017 0.000 10.038
Rb As F
4 2 12
Direct
0.977 0.189 0.898
0.523 0.689 0.602
0.477 0.311 0.398
0.023 0.811 0.102
0.500 0.500 0.000
0.000 0.000 0.500
0.482 0.056 0.262
0.819 0.820 0.482
0.564 0.572 0.861
0.936 0.072 0.639
0.681 0.320 0.018
0.018 0.556 0.238
0.518 0.944 0.738
0.181 0.180 0.518
0.436 0.428 0.139
0.064 0.928 0.361
0.319 0.680 0.982
0.982 0.444 0.762

Record 12
Y3AuSe, relaxed, DFT PBE; crystal system = orthorhombic; uncorrected energy = -6.2274 eV per atom; density of states at the Fermi level = 6.524 states/eV per cell; space group = Pmmn
1.0
4.204 0.000 0.000
0.000 6.945 -0.573
0.000 0.751 9.069
Y Au Se
6 2 2
Direct
0.250 0.011 0.315
0.250 0.489 0.315
0.250 0.250 0.944
0.750 0.989 0.685
0.750 0.750 0.056
0.750 0.511 0.685
0.750 0.250 0.163
0.250 0.750 0.837
0.750 0.750 0.413
0.250 0.250 0.587

Q: uncorrected energy of number 6 (CrCuBMo2)?
A: -8.0050 eV per atom